DFT (PBE with a Hubbard U) results for a relaxed RbCr2Hg2O7 crystal.

Computed properties:
DFT total energy: -5.305 eV/atom
space group: R32 (155)
density of states at the Fermi level: 2.1 states/eV/f.u.
V: 20.06 A^3/atom

Cell lengths 5.783, 5.783, 8.958 Å; angles 71.17, 71.17, 60.00 degrees
Fractional coordinates of all 12 atoms:
O: 0.000 0.000 0.000
O: 0.151 0.951 0.279
O: 0.849 0.380 0.721
O: 0.951 0.620 0.279
O: 0.380 0.049 0.721
O: 0.620 0.151 0.279
O: 0.049 0.849 0.721
Rb: 0.500 0.500 0.500
Cr: 0.928 0.928 0.215
Cr: 0.072 0.072 0.785
Hg: 0.683 0.683 0.951
Hg: 0.317 0.317 0.049